(1)
The following is a PBE-GGA calculation of an optimized crystal structure of LiReTc2, from Alexandria via LeMat-Bulk.

```
data_LiReTc2
_chemical_formula_sum 'Li1 Re1 Tc2'
_cell_length_a 5.0635
_cell_length_b 5.0635
_cell_length_c 2.6192
_cell_angle_alpha 100.14
_cell_angle_beta 100.14
_cell_angle_gamma 116.35
_space_group_name_H-M_alt 'P 1'
_space_group_IT_number 1
loop_
_space_group_symop_operation_xyz
'x,y,z'
loop_
_atom_site_label
_atom_site_fract_x
_atom_site_fract_y
_atom_site_fract_z
Li1 0.0000 0.0000 0.0000
Re1 0.5000 0.5000 0.0000
Tc1 0.0000 0.5000 0.5000
Tc2 0.5000 0.0000 0.5000
```

DFT formation energy	0.2559	eV/atom
space group	No. 12
E above lowest polymorph	126	meV per atom

=====

(2)
The following is a PBE-GGA calculation of an optimized crystal structure of Er2ZnGa4Rh3, from Alexandria via LeMat-Bulk.

```
data_Er2ZnGa4Rh3
_chemical_formula_sum 'Er2 Zn1 Ga4 Rh3'
_cell_length_a 3.9316
_cell_length_b 3.9316
_cell_length_c 11.5531
_cell_angle_alpha 90.00
_cell_angle_beta 90.00
_cell_angle_gamma 90.00
_space_group_name_H-M_alt 'P 1'
_space_group_IT_number 1
loop_
_space_group_symop_operation_xyz
'x,y,z'
loop_
_atom_site_label
_atom_site_fract_x
_atom_site_fract_y
_atom_site_fract_z
Er1 0.0000 0.5000 0.2390
Er2 0.5000 0.0000 0.7610
Zn1 0.0000 0.0000 0.5000
Ga1 0.0000 0.0000 0.0000
Ga2 0.0000 0.5000 0.6400
Ga3 0.5000 0.0000 0.3600
Ga4 0.5000 0.5000 0.0000
Rh1 0.0000 0.5000 0.8569
Rh2 0.5000 0.0000 0.1431
Rh3 0.5000 0.5000 0.5000
```

DFT formation energy	-0.6875	eV/atom
space group	No. 115

=====

(3)
The following is a PBE-GGA calculation of an optimized crystal structure of SrTeMo2, from Alexandria via LeMat-Bulk.

```
data_SrTeMo2
_chemical_formula_sum 'Sr1 Te1 Mo2'
_cell_length_a 6.3916
_cell_length_b 6.3916
_cell_length_c 2.9183
_cell_angle_alpha 102.72
_cell_angle_beta 102.72
_cell_angle_gamma 123.67
_space_group_name_H-M_alt 'P 1'
_space_group_IT_number 1
loop_
_space_group_symop_operation_xyz
'x,y,z'
loop_
_atom_site_label
_atom_site_fract_x
_atom_site_fract_y
_atom_site_fract_z
Sr1 0.0000 0.0000 0.0000
Te1 0.5000 0.5000 0.0000
Mo1 0.0000 0.5000 0.0000
Mo2 0.5000 0.0000 0.0000
```

uncorrected formation energy	86	kJ per mole of atoms
space group	No. 12

=====

(4)
The following is a PBE-GGA calculation of an optimized crystal structure of ZrCrTc2, from Alexandria via LeMat-Bulk.

```
data_ZrCrTc2
_chemical_formula_sum 'Zr1 Cr1 Tc2'
_cell_length_a 8.5911
_cell_length_b 8.5911
_cell_length_c 8.5911
_cell_angle_alpha 19.82
_cell_angle_beta 19.82
_cell_angle_gamma 19.82
_space_group_name_H-M_alt 'P 1'
_space_group_IT_number 1
loop_
_space_group_symop_operation_xyz
'x,y,z'
loop_
_atom_site_label
_atom_site_fract_x
_atom_site_fract_y
_atom_site_fract_z
Zr1 0.0000 0.0000 0.0000
Cr1 0.2464 0.2464 0.2464
Tc1 0.5084 0.5084 0.5084
Tc2 0.7609 0.7609 0.7609
```

DFT formation energy	0.3241	eV/atom
space group	No. 160